# 1
An optimized crystal structure of LiScPO2, computed with GGA-PBE.

Lattice parameters (Å, degrees): 3.8041 3.8041 4.0581 90.00 90.00 90.00
Fractional positions:
O (0.0000, 0.5000, 0.0000)
O (0.5000, 0.0000, 0.0000)
Li (0.0000, 0.0000, 0.0000)
Sc (0.5000, 0.5000, 0.5000)
P (0.0000, 0.0000, 0.5000)

## Properties
Uncorrected formation energy   -646 meV per atom
Crystal system   tetragonal
Energy above the most stable polymorph in this dataset   189.5 kJ/mol of formula units
Space group   P4/mmm, No. 123
D(E_F)   2.8 states/eV/f.u.
DFT total energy   -26.8 eV/f.u.

# 2
An optimized crystal structure of DySc2TlN, computed with GGA-PBE.

Lattice parameters (Å, degrees): 4.7691 4.5230 4.5230 90.00 90.00 90.00
Fractional positions:
Dy (0.5000, 0.0000, 0.0000)
Sc (0.0000, 0.5000, 0.0000)
Sc (0.0000, 0.0000, 0.5000)
N (0.0000, 0.0000, 0.0000)
Tl (0.5000, 0.5000, 0.5000)

## Properties
Uncorrected formation energy   -995 meV per atom
Crystal system   tetragonal
Space group   P4/mmm, No. 123
D(E_F)   2.8 states/eV/f.u.
DFT total energy   -32.9 eV/f.u.

# 3
An optimized crystal structure of Cd2IrCl, computed with GGA-PBE.

Lattice parameters (Å, degrees): 3.0523 4.8301 5.1241 90.00 90.00 90.00
Fractional positions:
Ir (0.0000, 0.5000, 0.5000)
Cd (0.0000, 0.0000, 0.0000)
Cd (0.5000, 0.5000, 0.0000)
Cl (0.5000, 0.0000, 0.5000)

## Properties
Uncorrected formation energy   484 meV per atom
Crystal system   orthorhombic
Energy above the most stable polymorph in this dataset   236.5 kJ/mol of formula units
Space group   Pmmm, No. 47
D(E_F)   2.2 states/eV/f.u.
DFT total energy   -10.6 eV/f.u.

# 4
An optimized crystal structure of Tb3Pr2Dy6Er, computed with GGA-PBE.

Lattice parameters (Å, degrees): 6.1851 6.1851 11.8315 94.98 94.98 119.97
Fractional positions:
Dy (0.0844, 0.4166, 0.2524)
Dy (0.4166, 0.0844, 0.2524)
Dy (0.9156, 0.5834, 0.7476)
Dy (0.7524, 0.7524, 0.2527)
Dy (0.2476, 0.2476, 0.7473)
Dy (0.5834, 0.9156, 0.7476)
Er (0.0000, 0.0000, 0.0000)
Tb (0.5000, 0.5000, 0.5000)
Tb (0.8336, 0.1664, 0.5000)
Tb (0.1664, 0.8336, 0.5000)
Pr (0.3335, 0.6665, 0.0000)
Pr (0.6665, 0.3335, 0.0000)

## Properties
Formation enthalpy at 0 K   0.0160 eV/atom
Crystal system   monoclinic
Space group   C2/m, No. 12
D(E_F)   14.9 states/eV/f.u.
DFT total energy   -55.4 eV/f.u.

# 5
An optimized crystal structure of Ac2Be4Si3Ge, computed with GGA-PBE.

Lattice parameters (Å, degrees): 4.2570 4.2570 9.5606 90.00 90.00 90.00
Fractional positions:
Ge (0.5000, 0.5000, 0.5000)
Si (0.0000, 0.5000, 0.1242)
Si (0.0000, 0.0000, 0.5000)
Si (0.5000, 0.0000, 0.8758)
Be (0.0000, 0.5000, 0.3755)
Be (0.0000, 0.0000, 0.0000)
Be (0.5000, 0.0000, 0.6245)
Be (0.5000, 0.5000, 0.0000)
Ac (0.0000, 0.5000, 0.7558)
Ac (0.5000, 0.0000, 0.2442)

## Properties
Uncorrected formation energy   -286 meV per atom
Crystal system   tetragonal
Space group   P-4m2, No. 115
D(E_F)   2.2 states/eV/f.u.
DFT total energy   -46.9 eV/f.u.

# 6
An optimized crystal structure of Sm5DyCd, computed with GGA-PBE.

Lattice parameters (Å, degrees): 5.9683 8.5032 7.7891 123.08 112.53 90.00
Fractional positions:
Sm (0.6861, 0.7502, 0.5003)
Sm (0.1626, 0.5000, 0.0000)
Sm (0.4379, 0.1740, 0.0000)
Sm (0.1858, 0.2498, 0.4997)
Sm (0.4379, 0.8260, 0.0000)
Cd (0.9393, 0.0000, 0.0000)
Dy (0.6809, 0.5000, 0.0000)

## Properties
Formation enthalpy at 0 K   0.7738 eV/atom
Crystal system   orthorhombic
Space group   Imm2, No. 44
D(E_F)   9.9 states/eV/f.u.
DFT total energy   -23.7 eV/f.u.

# 7
An optimized crystal structure of Cs4KH2, computed with GGA-PBE.

Lattice parameters (Å, degrees): 7.6350 7.6350 10.8530 69.41 69.41 90.00
Fractional positions:
Cs (0.0000, 0.5000, 0.0000)
Cs (0.7315, 0.7315, 0.5370)
Cs (0.5000, 0.0000, 0.0000)
Cs (0.2685, 0.2685, 0.4630)
H (0.5871, 0.5871, 0.8257)
H (0.4129, 0.4129, 0.1743)
K (0.0000, 0.0000, 0.0000)

## Properties
Crystal system   tetragonal
Space group   I4/mmm, No. 139
D(E_F)   5.0 states/eV/f.u.
DFT total energy   -9.3 eV/f.u.

# 8
An optimized crystal structure of RbCd2Cl2, computed with GGA-PBE.

Lattice parameters (Å, degrees): 5.6146 5.6146 6.4850 64.35 64.35 90.00
Fractional positions:
Cl (0.7500, 0.2500, 0.5000)
Cl (0.2500, 0.7500, 0.5000)
Cd (0.6381, 0.6381, 0.7238)
Cd (0.3619, 0.3619, 0.2762)
Rb (0.0000, 0.0000, 0.0000)

## Properties
Uncorrected formation energy   -803 meV per atom
Crystal system   tetragonal
Energy above the most stable polymorph in this dataset   0.0 kJ/mol of formula units
Space group   I4/mmm, No. 139
D(E_F)   1.8 states/eV/f.u.
DFT total energy   -10.5 eV/f.u.

# 9
An optimized crystal structure of NaNbBr3, computed with GGA-PBE.

Lattice parameters (Å, degrees): 5.4295 5.4295 5.4295 90.00 90.00 90.00
Fractional positions:
Br (0.0000, 0.0000, 0.5000)
Br (0.0000, 0.5000, 0.0000)
Br (0.5000, 0.0000, 0.0000)
Na (0.5000, 0.5000, 0.5000)
Nb (0.0000, 0.0000, 0.0000)

## Properties
Uncorrected formation energy   -637 meV per atom
Crystal system   cubic
Energy above the most stable polymorph in this dataset   0.0 kJ/mol of formula units
Space group   Pm-3m, No. 221
D(E_F)   1.7 states/eV/f.u.
DFT total energy   -19.6 eV/f.u.

# 10
An optimized crystal structure of Tb3Nd2Sc3, computed with GGA-PBE.

Lattice parameters (Å, degrees): 3.5157 6.0293 11.7277 75.36 81.38 90.00
Fractional positions:
Nd (0.2543, 0.2592, 0.4914)
Nd (0.7457, 0.7408, 0.5086)
Tb (0.3780, 0.0382, 0.2440)
Tb (0.5000, 0.5000, 0.0000)
Tb (0.6220, 0.9618, 0.7560)
Sc (0.0000, 0.0000, 0.0000)
Sc (0.1214, 0.4534, 0.7573)
Sc (0.8786, 0.5466, 0.2427)

## Properties
Formation enthalpy at 0 K   0.0361 eV/atom
Crystal system   monoclinic
Energy above the most stable polymorph in this dataset   0.0 kJ/mol of formula units
Space group   C2/m, No. 12
D(E_F)   12.2 states/eV/f.u.
DFT total energy   -42.1 eV/f.u.

# 11
An optimized crystal structure of AcTb6Pm2Sm, computed with GGA-PBE.

Lattice parameters (Å, degrees): 9.6929 9.0079 9.0079 118.40 93.03 93.03
Fractional positions:
Pm (0.5463, 0.1952, 0.3114)
Pm (0.4537, 0.8048, 0.6886)
Pm (0.9537, 0.6886, 0.8048)
Pm (0.0463, 0.3114, 0.1952)
Tb (0.8829, 0.2900, 0.5043)
Tb (0.6832, 0.0229, 0.5629)
Tb (0.4421, 0.2550, 0.8702)
Tb (0.3829, 0.5043, 0.2900)
Tb (0.1832, 0.5629, 0.0229)
Tb (0.0579, 0.1298, 0.7450)
Tb (0.5579, 0.7450, 0.1298)
Tb (0.1171, 0.7100, 0.4957)
Tb (0.9421, 0.8702, 0.2550)
Tb (0.3168, 0.9771, 0.4371)
Tb (0.8168, 0.4371, 0.9771)
Tb (0.6171, 0.4957, 0.7100)
Ac (0.7500, 0.0262, 0.9738)
Ac (0.2500, 0.9738, 0.0262)
Sm (0.2500, 0.4095, 0.5905)
Sm (0.7500, 0.5905, 0.4095)

## Properties
Formation enthalpy at 0 K   0.1276 eV/atom
Crystal system   monoclinic
Space group   C2/c, No. 15
D(E_F)   15.5 states/eV/f.u.
DFT total energy   -44.8 eV/f.u.

# 12
An optimized crystal structure of YTh2As2Rh7, computed with GGA-PBE.

Lattice parameters (Å, degrees): 4.0893 4.0893 13.4630 83.98 83.98 89.45
Fractional positions:
Th (0.1124, 0.1124, 0.6514)
Th (0.8876, 0.8876, 0.3486)
As (0.5856, 0.5856, 0.7457)
As (0.4144, 0.4144, 0.2543)
Rh (0.3359, 0.3359, 0.4372)
Rh (0.9468, 0.4458, 0.1582)
Rh (0.4458, 0.9468, 0.1582)
Rh (0.0532, 0.5542, 0.8418)
Rh (0.5000, 0.5000, 0.0000)
Rh (0.6641, 0.6641, 0.5628)
Rh (0.5542, 0.0532, 0.8418)
Y (0.0000, 0.0000, 0.0000)

## Properties
Formation enthalpy at 0 K   -0.7955 eV/atom
Crystal system   monoclinic
Space group   C2/m, No. 12
D(E_F)   8.3 states/eV/f.u.
DFT total energy   -91.6 eV/f.u.

# 13
An optimized crystal structure of MgRe2TeRu, computed with GGA-PBE.

Lattice parameters (Å, degrees): 4.8069 4.9546 4.8069 90.00 90.00 90.00
Fractional positions:
Re (0.5000, 0.0000, 0.0000)
Re (0.0000, 0.0000, 0.5000)
Te (0.0000, 0.0000, 0.0000)
Mg (0.0000, 0.5000, 0.0000)
Ru (0.5000, 0.5000, 0.5000)

## Properties
Uncorrected formation energy   2337 meV per atom
Crystal system   tetragonal
Space group   P4/mmm, No. 123
D(E_F)   4.7 states/eV/f.u.
DFT total energy   -27.2 eV/f.u.

# 14
An optimized crystal structure of TcSbTe2As, computed with GGA-PBE.

Lattice parameters (Å, degrees): 5.4626 5.4626 5.2027 90.00 90.00 90.00
Fractional positions:
As (0.0000, 0.0000, 0.0000)
Sb (0.0000, 0.0000, 0.5000)
Te (0.0000, 0.5000, 0.0000)
Te (0.5000, 0.0000, 0.0000)
Tc (0.5000, 0.5000, 0.5000)

## Properties
Uncorrected formation energy   1211 meV per atom
Crystal system   tetragonal
Energy above the most stable polymorph in this dataset   269.3 kJ/mol of formula units
Space group   P4/mmm, No. 123
D(E_F)   3.3 states/eV/f.u.
DFT total energy   -19.4 eV/f.u.

# 15
An optimized crystal structure of Mg3CdNi, computed with GGA-PBE.

Lattice parameters (Å, degrees): 5.1283 5.1283 5.1283 90.00 90.00 90.00
Fractional positions:
Ni (0.5000, 0.5000, 0.5000)
Cd (0.0000, 0.0000, 0.0000)
Mg (0.5000, 0.0000, 0.0000)
Mg (0.0000, 0.0000, 0.5000)
Mg (0.0000, 0.5000, 0.0000)

## Properties
Formation enthalpy at 0 K   0.7710 eV/atom
Crystal system   cubic
Energy above the most stable polymorph in this dataset   409.7 kJ/mol of formula units
Space group   Pm-3m, No. 221
D(E_F)   4.5 states/eV/f.u.
DFT total energy   -7.6 eV/f.u.

# 16
An optimized crystal structure of LiLaFe2, computed with GGA-PBE.

Lattice parameters (Å, degrees): 4.0399 4.0399 5.7010 69.14 69.14 60.09
Fractional positions:
Fe (0.3040, 0.3040, 0.0878)
Fe (0.9756, 0.9756, 0.0732)
La (0.5113, 0.5113, 0.4651)
Li (0.7091, 0.7091, 0.8739)

## Properties
Formation enthalpy at 0 K   0.2121 eV/atom
Crystal system   monoclinic
Energy above the most stable polymorph in this dataset   0.0 kJ/mol of formula units
Space group   Cm, No. 8
D(E_F)   3.2 states/eV/f.u.
DFT total energy   -22.9 eV/f.u.

# 17
An optimized crystal structure of FePt2Cl, computed with GGA-PBE.

Lattice parameters (Å, degrees): 4.4948 4.4945 4.4896 120.04 120.04 90.00
Fractional positions:
Pt (0.0000, 0.0000, 0.0000)
Pt (0.2500, 0.7500, 0.5000)
Fe (0.7500, 0.2500, 0.5000)
Cl (0.5000, 0.5000, 0.0000)

## Properties
Uncorrected formation energy   471 meV per atom
Crystal system   tetragonal
Energy above the most stable polymorph in this dataset   166.8 kJ/mol of formula units
Space group   I-4m2, No. 119
D(E_F)   3.2 states/eV/f.u.
DFT total energy   -20.5 eV/f.u.

# 18
An optimized crystal structure of KSrCr2, computed with GGA-PBE.

Lattice parameters (Å, degrees): 4.2534 4.0671 9.3567 64.22 90.00 90.00
Fractional positions:
Cr (0.0000, 0.4564, 0.5441)
Cr (0.0000, 0.0436, 0.9559)
Sr (0.5000, 0.7500, 0.7500)
K (0.5000, 0.2500, 0.2500)

## Properties
Formation enthalpy at 0 K   1.0303 eV/atom
Crystal system   orthorhombic
Energy above the most stable polymorph in this dataset   134.8 kJ/mol of formula units
Space group   Pmmm, No. 47
D(E_F)   2.3 states/eV/f.u.
DFT total energy   -17.9 eV/f.u.

# 19
An optimized crystal structure of Li3CoI, computed with GGA-PBE.

Lattice parameters (Å, degrees): 4.8166 4.8166 4.8166 90.00 90.00 90.00
Fractional positions:
I (0.5000, 0.5000, 0.5000)
Li (0.0000, 0.0000, 0.5000)
Li (0.5000, 0.0000, 0.0000)
Li (0.0000, 0.5000, 0.0000)
Co (0.0000, 0.0000, 0.0000)

## Properties
Uncorrected formation energy   242 meV per atom
Crystal system   cubic
Energy above the most stable polymorph in this dataset   0.0 kJ/mol of formula units
Space group   Pm-3m, No. 221
D(E_F)   13.6 states/eV/f.u.
DFT total energy   -13.2 eV/f.u.

# 20
An optimized crystal structure of SrZr3Ge, computed with GGA-PBE.

Lattice parameters (Å, degrees): 5.1301 5.1301 5.1301 90.00 90.00 90.00
Fractional positions:
Zr (0.0000, 0.0000, 0.5000)
Zr (0.0000, 0.5000, 0.0000)
Zr (0.5000, 0.0000, 0.0000)
Ge (0.5000, 0.5000, 0.5000)
Sr (0.0000, 0.0000, 0.0000)

## Properties
Formation enthalpy at 0 K   1.8592 eV/atom
Crystal system   cubic
Energy above the most stable polymorph in this dataset   769.2 kJ/mol of formula units
Space group   Pm-3m, No. 221
D(E_F)   6.6 states/eV/f.u.
DFT total energy   -22.6 eV/f.u.

# 21
An optimized crystal structure of K2CrP, computed with GGA-PBE.

Lattice parameters (Å, degrees): 3.3647 3.3647 10.4276 90.00 90.00 90.00
Fractional positions:
P (0.5000, 0.5000, 0.2500)
K (0.0000, 0.0000, 0.4581)
K (0.0000, 0.0000, 0.0419)
Cr (0.5000, 0.5000, 0.7500)

## Properties
Formation enthalpy at 0 K   0.6644 eV/atom
Crystal system   tetragonal
Space group   P4/mmm, No. 123
D(E_F)   1.8 states/eV/f.u.
DFT total energy   -14.6 eV/f.u.

# 22
An optimized crystal structure of LiPmZnGe2, computed with GGA-PBE.

Lattice parameters (Å, degrees): 4.1682 4.1682 6.2499 109.48 109.48 90.00
Fractional positions:
Zn (0.7500, 0.2500, 0.5000)
Ge (0.3861, 0.3861, 0.7722)
Ge (0.6139, 0.6139, 0.2278)
Pm (0.0000, 0.0000, 0.0000)
Li (0.2500, 0.7500, 0.5000)

## Properties
Formation enthalpy at 0 K   -0.5399 eV/atom
Crystal system   tetragonal
Space group   I-4m2, No. 119
D(E_F)   2.9 states/eV/f.u.
DFT total energy   -19.9 eV/f.u.